Entry 1:
PBEsol BaGe3Br, optimized geometry; crystal system = cubic; raw total energy = -2.482 eV/atom; symmetry = Pm-3m (221); energy relative to the elements, uncorrected = 1.285 eV per atom
1.0
-3.214 -4.409 -2.072
3.406 -0.259 -4.732
3.483 -3.815 2.715
Ba Ge Br
1 3 1
Cartesian
0.000 0.000 0.000
1.703 -0.129 -2.366
1.741 -1.908 1.358
-1.607 -2.204 -1.036
1.837 -4.241 -2.044


Entry 2:
PBEsol Ba4Ge2PbSe8Br2, optimized geometry; crystal system = orthorhombic; raw total energy = -4.646 eV/atom; symmetry = Pmn2_1 (31); energy relative to the elements, uncorrected = -1.292 eV per atom
1.0
8.897 0.000 0.000
0.000 9.491 0.000
0.000 0.000 12.364
Ge Ba Se Br Pb
4 8 16 4 2
Cartesian
1.704 0.000 10.574
7.144 4.745 8.148
2.696 0.000 4.216
6.153 4.745 1.789
7.975 7.032 11.406
5.252 7.049 5.246
0.803 7.187 7.117
5.252 2.442 5.246
3.526 2.287 0.958
0.803 2.304 7.117
3.526 7.204 0.958
7.975 2.458 11.406
1.852 7.338 3.919
7.355 6.704 2.347
1.852 2.153 3.919
8.626 0.000 9.299
3.200 0.000 6.600
7.649 4.745 5.764
4.178 4.745 3.065
1.109 0.000 0.498
0.290 4.745 9.333
4.738 0.000 3.031
2.906 1.958 10.017
5.557 4.745 11.866
7.355 2.787 2.347
2.906 7.532 10.017
6.301 6.898 8.444
6.301 2.593 8.444
1.302 4.745 0.322
7.585 0.000 5.739
3.136 4.745 6.625
5.751 0.000 12.042
4.832 0.000 9.126
0.383 4.745 3.238